Y2AgIr2 | PBE-GGA | relaxed

Cell: 7.340 7.340 3.928 Å, 90.00 90.00 90.00°
Fractional positions:
Y  0.173  0.327  0.000
Y  0.327  0.827  0.000
Y  0.673  0.173  0.000
Y  0.827  0.673  0.000
Ag  0.000  0.000  0.500
Ag  0.500  0.500  0.500
Ir  0.127  0.627  0.500
Ir  0.373  0.127  0.500
Ir  0.627  0.873  0.500
Ir  0.873  0.373  0.500

Summary:
crystal system	tetragonal
ΔE to the lowest computed polymorph	8.27	kJ/mol of atoms
total moment	0.000	μB per atom



Y8Ag2Ir | PBE-GGA | relaxed

Cell: 8.892 8.892 6.106 Å, 102.98 102.98 129.80°
Fractional positions:
Y  0.000  0.000  0.000
Y  0.085  0.473  0.218
Y  0.117  0.888  0.524
Y  0.428  0.662  0.879
Y  0.473  0.085  0.218
Y  0.548  0.548  0.355
Y  0.662  0.428  0.879
Y  0.888  0.117  0.524
Ag  0.004  0.564  0.721
Ag  0.564  0.004  0.721
Ir  0.279  0.279  0.515

Summary:
crystal system	monoclinic
ΔE to the lowest computed polymorph	6.31	kJ/mol of atoms
total moment	0.000	μB per atom



Y3Ag2Ir2 | PBE-GGA | relaxed

Cell: 4.842 4.844 8.992 Å, 74.43 74.41 60.11°
Fractional positions:
Y  0.000  0.000  0.000
Y  0.215  0.214  0.356
Y  0.785  0.786  0.644
Ag  0.394  0.395  0.816
Ag  0.606  0.605  0.184
Ir  0.104  0.106  0.687
Ir  0.896  0.894  0.313

Summary:
crystal system	triclinic
total moment	0.000	μB per atom



Y3AgIr | PBE-GGA | relaxed

Cell: 5.375 5.375 5.375 Å, 90.00 90.00 90.00°
Fractional positions:
Y  0.000  0.000  0.500
Y  0.000  0.500  0.000
Y  0.500  0.000  0.000
Ag  0.500  0.500  0.500
Ir  0.000  0.000  0.000

Summary:
crystal system	cubic
ΔE to the lowest computed polymorph	24.90	kJ/mol of atoms
total moment	0.000	μB per atom



Y8Ag2Ir | PBE-GGA | relaxed

Cell: 9.183 9.183 6.848 Å, 106.70 106.70 33.01°
Fractional positions:
Y  0.028  0.028  0.293
Y  0.201  0.201  0.813
Y  0.340  0.340  0.528
Y  0.410  0.410  0.067
Y  0.590  0.590  0.933
Y  0.660  0.660  0.472
Y  0.799  0.799  0.187
Y  0.972  0.972  0.707
Ag  0.183  0.183  0.219
Ag  0.817  0.817  0.781
Ir  0.500  0.500  0.500

Summary:
crystal system	monoclinic
ΔE to the lowest computed polymorph	0.00	kJ/mol of atoms
total moment	0.000	μB per atom



Y2AgIr | PBE-GGA | relaxed

Cell: 5.741 5.741 5.741 Å, 136.91 136.91 62.57°
Fractional positions:
Y  0.000  0.000  0.000
Y  0.750  0.250  0.500
Ag  0.250  0.750  0.500
Ir  0.500  0.500  0.000

Summary:
crystal system	tetragonal
total moment	0.000	μB per atom



For the records above, the corresponding final energy values read -72.4 -68.7 -45.4 -32.3 -69.4 -25.9 eV for the cell shown.
For the records above, the corresponding ρ values read 10.51 5.91 8.28 6.06 6.19 9.10 g/cm³.